! PBE KBeZnHg2, relaxed; values from VASP
&SYSTEM
  ibrav = 0, nat = 5, ntyp = 4
/
ATOMIC_SPECIES
Be 9.01 Be.upf
K 39.10 K.upf
Hg 200.59 Hg.upf
Zn 65.41 Zn.upf
ATOMIC_POSITIONS crystal
Be 0.0000 0.5000 0.0000
K 0.0000 0.0000 0.0000
Hg 0.5000 0.0000 0.0000
Hg 0.0000 0.0000 0.5000
Zn 0.5000 0.5000 0.5000
CELL_PARAMETERS angstrom
6.8326 0.0000 0.0000
0.0000 6.4007 0.0000
0.0000 0.0000 6.8326
! DOS(E_F)	3.8	states/eV/cell
! density	2860	kg/m³
! energy above the most stable polymorph in this dataset	4.24	eV/f.u.
! spin magnetization	0.00	μB/atom
! V	299	Å³ per cell
! space-group type	P4/mmm (123)
! E_form	21.33	kcal/mol of atoms